## TbPmZnCo (PBE)

Data for a geometry-optimized TbPmZnCo structure.

Results
* offset from the most stable computed form: 0.020 eV/atom
* total DFT energy (no corrections): -18.4 eV per cell
* size of the total moment: 0.00 μB per atom

a = 4.9528 Å, b = 4.9528 Å, c = 4.9528 Å
α = 60.00°, β = 60.00°, γ = 60.00°
Fractional coordinates of all 4 atoms:
Zn  0.0000  0.0000  0.0000
Tb  0.7500  0.7500  0.7500
Pm  0.2500  0.2500  0.2500
Co  0.5000  0.5000  0.5000